AlGaCoNi2 | PBE | relaxed

Unit cell a=4.2406 b=4.2406 c=4.6070 alpha=90.00 beta=90.00 gamma=90.00
With the nearest neighbours (Å) after each atom.
Fractional coordinates of all 5 atoms:
1 Al 0.0000 0.0000 0.0000  4 Ni 2.12, 2 Ga 2.30
2 Ga 0.0000 0.0000 0.5000  2 Al 2.30
3 Co 0.5000 0.5000 0.5000  4 Ga 3.00, 8 Ni 3.13
4 Ni 0.0000 0.5000 0.0000  2 Al 2.12
5 Ni 0.5000 0.0000 0.0000  2 Al 2.12

Magnetization in μB/f.u.: 1.9
Calculated total energy in eV/cell: -20.54

Pm2MgAl3 | PBE | relaxed

Unit cell a=8.6349 b=8.6349 c=8.6349 alpha=153.34 beta=148.57 gamma=41.67
With the nearest neighbours (Å) after each atom.
Fractional coordinates of all 6 atoms:
1 Pm 0.0000 0.0000 0.0000  8 Al 3.25-3.54, 4 Mg 3.48
2 Pm 0.7789 0.2789 0.5000  10 Al 3.22-3.45, 2 Mg 3.50
3 Mg 0.6008 0.6008 0.0000  3 Al 2.68
4 Al 0.1814 0.6814 0.5000  1 Al 2.55, 2 Mg 2.68
5 Al 0.3396 0.8396 0.5000  3 Al 2.51-2.55
6 Al 0.4348 0.4348 0.0000  2 Al 2.51, 1 Mg 2.68

Magnetization in μB/f.u.: 0.0
Calculated total energy in eV/cell: -24.11
Energy relative to the lowest polymorph listed for this composition in meV per atom: 107.4

Pu6IrPb | PBE | relaxed

Unit cell a=4.7697 b=4.7697 c=8.4046 alpha=90.00 beta=90.00 gamma=90.00
With the nearest neighbours (Å) after each atom.
Fractional coordinates of all 8 atoms:
1 Pu 0.0000 0.0000 0.0000  8 Pu 2.96
2 Pu 0.0000 0.0000 0.5000  4 Pb 3.37, 8 Pu 3.41
3 Pu 0.0000 0.5000 0.2094  2 Ir 2.96, 2 Pu 2.96
4 Pu 0.0000 0.5000 0.7906  2 Ir 2.96, 2 Pu 2.96
5 Pu 0.5000 0.0000 0.2094  2 Ir 2.96, 2 Pu 2.96
6 Pu 0.5000 0.0000 0.7906  2 Ir 2.96, 2 Pu 2.96
7 Ir 0.5000 0.5000 0.0000  8 Pu 2.96
8 Pb 0.5000 0.5000 0.5000  12 Pu 3.37-3.41

Magnetization in μB/f.u.: 22.6
Calculated total energy in eV/cell: -99.15

Pm3Tl3Sn | PBE | relaxed

Unit cell a=9.3245 b=9.3245 c=5.3742 alpha=90.00 beta=90.00 gamma=120.00
With the nearest neighbours (Å) after each atom.
Fractional coordinates of all 14 atoms:
1 Pm 0.0979 0.4499 0.2500  4 Tl 3.23-3.33, 3 Sn 3.42-3.60
2 Pm 0.3520 0.9021 0.2500  4 Tl 3.23-3.33, 3 Sn 3.42-3.60
3 Pm 0.4499 0.3520 0.7500  4 Tl 3.23-3.33, 3 Sn 3.42-3.60
4 Pm 0.5501 0.6480 0.2500  4 Tl 3.23-3.33, 3 Sn 3.42-3.60
5 Pm 0.6480 0.0979 0.7500  4 Tl 3.23-3.33, 3 Sn 3.42-3.60
6 Pm 0.9021 0.5501 0.7500  4 Tl 3.23-3.33, 3 Sn 3.42-3.60
7 Tl 0.0496 0.2381 0.7500  4 Pm 3.23-3.33, 6 Tl 3.37-3.51, 1 Sn 3.52
8 Tl 0.1885 0.9504 0.7500  4 Pm 3.23-3.33, 6 Tl 3.37-3.51, 1 Sn 3.52
9 Tl 0.2381 0.1885 0.2500  4 Pm 3.23-3.33, 6 Tl 3.37-3.51, 1 Sn 3.52
10 Tl 0.7619 0.8115 0.7500  4 Pm 3.23-3.33, 6 Tl 3.37-3.51, 1 Sn 3.52
11 Tl 0.8115 0.0496 0.2500  4 Pm 3.23-3.33, 6 Tl 3.37-3.51, 1 Sn 3.52
12 Tl 0.9504 0.7619 0.2500  4 Pm 3.23-3.33, 6 Tl 3.37-3.51, 1 Sn 3.52
13 Sn 0.3333 0.6667 0.7500  9 Pm 3.42-3.60, 3 Tl 3.52
14 Sn 0.6667 0.3333 0.2500  9 Pm 3.42-3.60, 3 Tl 3.52

Magnetization in μB/f.u.: 0.0
Calculated total energy in eV/cell: -55.86

Na2Cr2Br7 | PBE | relaxed

Unit cell a=8.0515 b=8.0515 c=6.5723 alpha=93.91 beta=93.91 gamma=119.26
With the nearest neighbours (Å) after each atom.
Fractional coordinates of all 11 atoms:
1 Na 0.2093 0.7907 0.0000  4 Br 2.89-2.96
2 Na 0.7907 0.2093 0.0000  4 Br 2.89-2.96
3 Cr 0.2181 0.2181 0.6344  5 Br 2.47-2.57
4 Cr 0.7819 0.7819 0.3656  5 Br 2.47-2.57
5 Br 0.0727 0.0727 0.2615  2 Cr 2.55-2.57
6 Br 0.0828 0.4232 0.7429  1 Cr 2.47
7 Br 0.4232 0.0828 0.7429  1 Cr 2.47
8 Br 0.5000 0.5000 0.5000  2 Cr 2.57
9 Br 0.5768 0.9172 0.2571  1 Cr 2.47
10 Br 0.9172 0.5768 0.2571  1 Cr 2.47
11 Br 0.9273 0.9273 0.7385  2 Cr 2.55-2.57

Magnetization in μB/f.u.: 7.0
Calculated total energy in eV/cell: -43.58
Energy relative to the elements, uncorrected in eV per atom: -0.91

Zn2CdSb | PBE | relaxed

Unit cell a=6.2248 b=6.2248 c=6.2248 alpha=40.47 beta=40.47 gamma=40.47
With the nearest neighbours (Å) after each atom.
Fractional coordinates of all 4 atoms:
1 Zn 0.0000 0.0000 0.0000  3 Cd 2.81, 3 Sb 2.83, 1 Zn 2.85
2 Zn 0.1665 0.1665 0.1665  1 Zn 2.85, 3 Sb 2.90, 3 Cd 2.93
3 Cd 0.4096 0.4096 0.4096  6 Zn 2.81-2.93, 1 Sb 3.05
4 Sb 0.5876 0.5876 0.5876  6 Zn 2.83-2.90, 1 Cd 3.05

Magnetization in μB/f.u.: 0.0
Calculated total energy in eV/cell: -7.17
Energy relative to the lowest polymorph listed for this composition in meV per atom: 7.4
Energy relative to the elements, uncorrected in eV per atom: 0.10

Sm8Tm3Th3 | PBE | relaxed

Unit cell a=9.6790 b=9.6790 c=9.6790 alpha=145.55 beta=113.67 gamma=76.93
With the nearest neighbours (Å) after each atom.
Fractional coordinates of all 14 atoms:
1 Sm 0.0630 0.3977 0.6654  4 Sm 3.10-3.40
2 Sm 0.0647 0.2226 0.8422  6 Sm 3.25-3.57, 2 Th 3.61
3 Sm 0.2677 0.6023 0.6654  4 Sm 3.10-3.40
4 Sm 0.3804 0.2226 0.1578  6 Sm 3.25-3.57, 2 Th 3.61
5 Sm 0.6196 0.7774 0.8422  6 Sm 3.25-3.57, 2 Th 3.61
6 Sm 0.7323 0.3977 0.3346  4 Sm 3.10-3.40
7 Sm 0.9353 0.7774 0.1578  6 Sm 3.25-3.57, 2 Th 3.61
8 Sm 0.9370 0.6023 0.3346  4 Sm 3.10-3.40
9 Tm 0.0000 0.0000 0.0000  2 Tm 3.31, 8 Sm 3.70
10 Tm 0.3128 0.0000 0.3128  1 Tm 3.31, 4 Th 3.42-3.48, 4 Sm 3.61
11 Tm 0.6872 0.0000 0.6872  1 Tm 3.31, 4 Th 3.42-3.48, 4 Sm 3.61
12 Th 0.3159 0.8159 0.5000  2 Tm 3.42, 8 Sm 3.61-3.68
13 Th 0.5000 0.5000 0.0000  4 Tm 3.48, 4 Sm 3.87
14 Th 0.6841 0.1841 0.5000  2 Tm 3.42, 8 Sm 3.61-3.68

Magnetization in μB/f.u.: 0.0
Calculated total energy in eV/cell: -71.17

Mg3CrGa | PBE | relaxed

Unit cell a=4.9262 b=4.9262 c=4.9262 alpha=90.00 beta=90.00 gamma=90.00
With the nearest neighbours (Å) after each atom.
Fractional coordinates of all 5 atoms:
1 Mg 0.0000 0.0000 0.5000  2 Ga 2.46
2 Mg 0.0000 0.5000 0.0000  2 Ga 2.46
3 Mg 0.5000 0.0000 0.0000  2 Ga 2.46
4 Cr 0.5000 0.5000 0.5000  12 Mg 3.48
5 Ga 0.0000 0.0000 0.0000  6 Mg 2.46

Magnetization in μB/f.u.: 0.4
Calculated total energy in eV/cell: -12.23
Energy relative to the lowest polymorph listed for this composition in meV per atom: 301.4

TbScAgRu | PBE | relaxed

Unit cell a=4.8387 b=4.8387 c=4.8387 alpha=60.00 beta=60.00 gamma=60.00
With the nearest neighbours (Å) after each atom.
Fractional coordinates of all 4 atoms:
1 Tb 0.0000 0.0000 0.0000  4 Ru 2.96, 4 Ag 2.96
2 Sc 0.5000 0.5000 0.5000  4 Ru 2.96, 4 Ag 2.96
3 Ag 0.2500 0.2500 0.2500  4 Tb 2.96, 4 Sc 2.96
4 Ru 0.7500 0.7500 0.7500  4 Tb 2.96, 4 Sc 2.96

Magnetization in μB/f.u.: 0.0
Calculated total energy in eV/cell: -24.49
Energy relative to the lowest polymorph listed for this composition in meV per atom: 87.0

Pm6YTe8 | PBE | relaxed

Unit cell a=8.8932 b=8.8932 c=8.8932 alpha=60.00 beta=60.00 gamma=60.00
With the nearest neighbours (Å) after each atom.
Fractional coordinates of all 15 atoms:
1 Pm 0.0000 0.0000 0.5000  6 Te 3.14
2 Pm 0.0000 0.5000 0.0000  6 Te 3.14
3 Pm 0.0000 0.5000 0.5000  6 Te 3.14
4 Pm 0.5000 0.0000 0.0000  6 Te 3.14
5 Pm 0.5000 0.0000 0.5000  6 Te 3.14
6 Pm 0.5000 0.5000 0.0000  6 Te 3.14
7 Y 0.0000 0.0000 0.0000  6 Te 3.16
8 Te 0.2500 0.2500 0.2500  6 Pm 3.14
9 Te 0.2512 0.2512 0.7488  4 Pm 3.14, 1 Y 3.16
10 Te 0.2512 0.7488 0.2512  4 Pm 3.14, 1 Y 3.16
11 Te 0.2512 0.7488 0.7488  4 Pm 3.14, 1 Y 3.16
12 Te 0.7488 0.2512 0.2512  4 Pm 3.14, 1 Y 3.16
13 Te 0.7488 0.2512 0.7488  4 Pm 3.14, 1 Y 3.16
14 Te 0.7488 0.7488 0.2512  4 Pm 3.14, 1 Y 3.16
15 Te 0.7500 0.7500 0.7500  6 Pm 3.14

Magnetization in μB/f.u.: 0.0
Calculated total energy in eV/cell: -81.79
Energy relative to the lowest polymorph listed for this composition in meV per atom: 0.0
Energy relative to the elements, uncorrected in eV per atom: -1.45

Sr3ZrTe | PBE | relaxed

Unit cell a=6.2042 b=6.2042 c=6.2042 alpha=90.00 beta=90.00 gamma=90.00
With the nearest neighbours (Å) after each atom.
Fractional coordinates of all 5 atoms:
1 Sr 0.0000 0.0000 0.5000  2 Te 3.10
2 Sr 0.0000 0.5000 0.0000  2 Te 3.10
3 Sr 0.5000 0.0000 0.0000  2 Te 3.10
4 Zr 0.5000 0.5000 0.5000  12 Sr 4.39
5 Te 0.0000 0.0000 0.0000  6 Sr 3.10

Magnetization in μB/f.u.: 5.0
Calculated total energy in eV/cell: -16.17
Energy relative to the lowest polymorph listed for this composition in meV per atom: 0.0
Energy relative to the elements, uncorrected in eV per atom: 0.11

Ba2SrPb2 | PBE | relaxed

Unit cell a=7.0050 b=7.0050 c=7.0050 alpha=134.39 beta=114.77 gamma=83.19
With the nearest neighbours (Å) after each atom.
Fractional coordinates of all 5 atoms:
1 Ba 0.1940 0.1940 0.0000  6 Pb 3.77-3.85, 1 Ba 4.06, 2 Sr 4.20
2 Ba 0.8060 0.8060 0.0000  6 Pb 3.77-3.85, 1 Ba 4.06, 2 Sr 4.20
3 Sr 0.5000 0.0000 0.5000  4 Pb 3.45
4 Pb 0.2174 0.5000 0.7174  1 Pb 3.28, 2 Sr 3.45
5 Pb 0.7826 0.5000 0.2826  1 Pb 3.28, 2 Sr 3.45

Magnetization in μB/f.u.: 0.0
Calculated total energy in eV/cell: -15.57
Energy relative to the lowest polymorph listed for this composition in meV per atom: 0.0